Below is a relaxed structure of ScCdIn2, with properties calculated at the PBE-GGA level.

The structure in CIF format:
```
data_ScCdIn2
_chemical_formula_sum 'Sc1 Cd1 In2'
_space_group_name_H-M_alt 'P m m 2'
_space_group_IT_number 25
_space_group_name_Hall 'P 2 -2'
_cell_length_a 3.469
_cell_length_b 4.333
_cell_length_c 6.278
_cell_angle_alpha 90.00
_cell_angle_beta 90.00
_cell_angle_gamma 90.00
loop_
_atom_site_label
_atom_site_type_symbol
_atom_site_fract_x
_atom_site_fract_y
_atom_site_fract_z
Sc1 Sc 0.000 0.000 0.000
Cd1 Cd 0.500 0.500 0.251
In1 In 0.000 0.000 0.498
In2 In 0.500 0.500 0.765
```

VASP energy: -3.34 eV per atom